{"formula": "Zn2NiB", "functional": "GGA-PBE", "state": "optimized geometry", "spacegroup": "F-43m, No. 216", "m_tot_mub_per_fu": 0.00, "total_energy_ev_per_atom": -3.295, "lattice_angstrom": [[-1.5458, -2.7566, 2.4076], [-3.8105, 0.2344, 1.1000], [-2.6390, -2.6142, -1.4094]], "species": ["B", "Ni", "Zn", "Zn"], "frac_coords": [[0.5000, 0.5000, 0.5000], [0.2500, 0.2500, 0.2500], [0.0000, 0.0000, 0.0000], [0.7500, 0.7500, 0.7500]]}